(1)
## Mn2AsPt (PBE-GGA)

Data for Mn2AsPt after structural relaxation.

Crystal system: orthorhombic
Fermi-level density of states: 2.66 states/eV/cell
Uncorrected energy: -7.352 eV per atom

Cell and atoms, written as POSCAR:
```
Mn2AsPt
1.0
-1.778 1.955 4.327
1.778 -1.955 4.327
1.778 1.955 -4.327
Mn As Pt
2 1 1
Direct
0.000 0.000 0.000 Mn
0.739 0.239 0.500 Mn
0.252 0.752 0.500 As
0.487 0.487 0.000 Pt
```

=====

(2)
## Ho3TaO7 (PBE-GGA)

Data for Ho3TaO7 after structural relaxation.

Crystal system: orthorhombic
Fermi-level density of states: 0.00 states/eV/cell
Formation energy (no corrections): -79.18 kcal/mol of atoms

Cell and atoms, written as POSCAR:
```
Ho3TaO7
1.0
3.785 -5.259 0.000
3.785 5.259 0.000
0.000 0.000 7.438
Ho Ta O
6 2 14
Direct
0.035 0.500 0.260 Ho
0.039 0.039 0.000 Ho
0.500 0.035 0.740 Ho
0.500 0.965 0.240 Ho
0.961 0.961 0.500 Ho
0.965 0.500 0.760 Ho
0.498 0.498 0.500 Ta
0.502 0.502 0.000 Ta
0.129 0.871 0.750 O
0.140 0.860 0.250 O
0.170 0.416 0.976 O
0.193 0.453 0.546 O
0.416 0.170 0.024 O
0.430 0.570 0.250 O
0.453 0.193 0.454 O
0.547 0.807 0.954 O
0.570 0.430 0.750 O
0.584 0.830 0.524 O
0.807 0.547 0.046 O
0.830 0.584 0.476 O
0.860 0.140 0.750 O
0.871 0.129 0.250 O
```

=====

(3)
## KRe2S (PBE-GGA)

Data for KRe2S after structural relaxation.

Crystal system: tetragonal
Fermi-level density of states: 8.94 states/eV/cell
Formation energy (no corrections): 23.76 kcal/mol of atoms

Cell and atoms, written as POSCAR:
```
KRe2S
1.0
-2.452 2.452 8.254
2.452 -2.452 8.254
2.452 2.452 -8.254
K Re S
2 4 2
Direct
0.375 0.625 0.750 K
0.625 0.375 0.250 K
0.000 0.000 0.000 Re
0.000 0.000 0.500 Re
0.000 0.500 0.000 Re
0.500 0.000 0.500 Re
0.125 0.875 0.250 S
0.875 0.125 0.750 S
```

=====

(4)
## PmEr2PuSb4 (PBE-GGA)

Data for PmEr2PuSb4 after structural relaxation.

Crystal system: monoclinic
Fermi-level density of states: 16.40 states/eV/cell
Formation energy (no corrections): -22.70 kcal/mol of atoms

Cell and atoms, written as POSCAR:
```
PmEr2PuSb4
1.0
7.621 0.000 0.000
0.000 4.414 0.000
-2.548 0.000 7.199
Pm Er Pu Sb
1 2 1 4
Direct
0.000 0.000 0.000 Pm
0.500 0.000 0.500 Er
0.500 0.500 0.000 Er
0.000 0.500 0.500 Pu
0.256 0.000 0.749 Sb
0.258 0.500 0.255 Sb
0.742 0.500 0.745 Sb
0.744 0.000 0.251 Sb
```

=====

(5)
## Na2YbCdSb2 (PBE-GGA)

Data for Na2YbCdSb2 after structural relaxation.

Crystal system: orthorhombic
Fermi-level density of states: 32.94 states/eV/cell
Formation energy (no corrections): -13.60 kcal/mol of atoms

Cell and atoms, written as POSCAR:
```
Na2YbCdSb2
1.0
4.678 0.000 0.000
0.000 9.238 0.000
0.000 0.000 7.802
Na Yb Cd Sb
4 2 2 4
Direct
0.000 0.080 0.000 Na
0.000 0.920 0.500 Na
0.500 0.171 0.684 Na
0.500 0.829 0.184 Na
0.500 0.443 0.061 Yb
0.500 0.557 0.561 Yb
0.000 0.311 0.397 Cd
0.000 0.689 0.897 Cd
0.000 0.382 0.776 Sb
0.000 0.618 0.276 Sb
0.500 0.156 0.281 Sb
0.500 0.844 0.781 Sb
```

=====

(6)
## FeCoOs (PBE-GGA)

Data for FeCoOs after structural relaxation.

Crystal system: orthorhombic
Fermi-level density of states: 3.92 states/eV/cell
Uncorrected energy: -8.822 eV per atom

Cell and atoms, written as POSCAR:
```
FeCoOs
1.0
-1.296 1.811 3.806
1.296 -1.811 3.806
1.296 1.811 -3.806
Fe Co Os
1 1 1
Direct
0.000 0.000 0.000 Fe
0.334 0.334 0.000 Co
0.667 0.667 0.000 Os
```

=====

(7)
## NbZn2Cu (PBE-GGA)

Data for NbZn2Cu after structural relaxation.

Crystal system: trigonal
Fermi-level density of states: 2.48 states/eV/cell
Uncorrected energy: -4.118 eV per atom

Cell and atoms, written as POSCAR:
```
NbZn2Cu
1.0
1.393 0.804 9.027
-1.393 0.804 9.027
0.000 -1.609 9.027
Nb Zn Cu
1 2 1
Direct
0.000 0.000 0.000 Nb
0.243 0.243 0.243 Zn
0.757 0.757 0.757 Zn
0.500 0.500 0.500 Cu
```

=====

(8)
## La2SnPt3 (PBE-GGA)

Data for La2SnPt3 after structural relaxation.

Crystal system: hexagonal
Fermi-level density of states: 10.46 states/eV/cell
Uncorrected energy: -6.333 eV per atom

Cell and atoms, written as POSCAR:
```
La2SnPt3
1.0
4.579 0.000 0.000
-2.290 3.966 0.000
0.000 0.000 16.087
La Sn Pt
4 2 6
Direct
0.000 0.000 0.120 La
0.000 0.000 0.380 La
0.000 0.000 0.620 La
0.000 0.000 0.880 La
0.333 0.667 0.250 Sn
0.667 0.333 0.750 Sn
0.333 0.667 0.001 Pt
0.333 0.667 0.499 Pt
0.333 0.667 0.750 Pt
0.667 0.333 0.250 Pt
0.667 0.333 0.501 Pt
0.667 0.333 0.999 Pt
```

=====

(9)
## HgMoPS2 (PBE-GGA)

Data for HgMoPS2 after structural relaxation.

Crystal system: tetragonal
Fermi-level density of states: 3.68 states/eV/cell
Formation energy (no corrections): 34.52 kcal/mol of atoms

Cell and atoms, written as POSCAR:
```
HgMoPS2
1.0
4.950 0.000 0.000
0.000 4.950 0.000
0.000 0.000 4.942
Hg Mo P S
1 1 1 2
Direct
0.000 0.000 0.000 Hg
0.500 0.500 0.500 Mo
0.000 0.000 0.500 P
0.000 0.500 0.000 S
0.500 0.000 0.000 S
```

=====

(10)
## Tm5MgTl3 (PBE-GGA)

Data for Tm5MgTl3 after structural relaxation.

Crystal system: hexagonal
Fermi-level density of states: 14.62 states/eV/cell
Uncorrected energy: -3.718 eV per atom

Cell and atoms, written as POSCAR:
```
Tm5MgTl3
1.0
9.173 0.000 0.000
-4.587 7.944 0.000
0.000 0.000 6.581
Tm Mg Tl
10 2 6
Direct
0.000 0.301 0.250 Tm
0.000 0.699 0.750 Tm
0.301 0.000 0.250 Tm
0.301 0.301 0.750 Tm
0.333 0.667 0.000 Tm
0.333 0.667 0.500 Tm
0.667 0.333 0.000 Tm
0.667 0.333 0.500 Tm
0.699 0.000 0.750 Tm
0.699 0.699 0.250 Tm
0.000 0.000 0.000 Mg
0.000 0.000 0.500 Mg
0.000 0.362 0.750 Tl
0.000 0.638 0.250 Tl
0.362 0.000 0.750 Tl
0.362 0.362 0.250 Tl
0.638 0.000 0.250 Tl
0.638 0.638 0.750 Tl
```

=====

(11)
## GaSnH (PBE-GGA)

Data for GaSnH after structural relaxation.

Crystal system: triclinic
Fermi-level density of states: 1.02 states/eV/cell
Uncorrected energy: -3.237 eV per atom

Cell and atoms, written as POSCAR:
```
GaSnH
1.0
4.377 0.000 0.000
0.997 4.702 0.000
0.591 1.715 5.885
Ga Sn H
2 2 2
Direct
0.029 0.476 0.282 Ga
0.971 0.524 0.718 Ga
0.297 0.844 0.898 Sn
0.703 0.156 0.102 Sn
0.262 0.387 0.523 H
0.738 0.613 0.477 H
```

=====

(12)
## Sr2InAu (PBE-GGA)

Data for Sr2InAu after structural relaxation.

Crystal system: tetragonal
Fermi-level density of states: 3.29 states/eV/cell
Uncorrected energy: -2.711 eV per atom

Cell and atoms, written as POSCAR:
```
Sr2InAu
1.0
-2.375 2.375 5.540
2.375 -2.375 5.540
2.375 2.375 -5.540
Sr In Au
2 1 1
Direct
0.000 0.000 0.000 Sr
0.750 0.250 0.500 Sr
0.500 0.500 0.000 In
0.250 0.750 0.500 Au
```